{
  "formula": "OsRh3N",
  "functional": "GGA-PBE",
  "state": "optimized geometry",
  "lattice": [[-3.851, 1.944, -1.934], [-0.964, -4.082, -2.182], [-2.567, -1.383, 3.721]],
  "species": ["Rh", "Rh", "Rh", "Os", "N"],
  "frac_coords": [[0.000, 0.500, 0.000], [0.000, 0.000, 0.500], [0.500, 0.000, 0.000], [0.000, 0.000, 0.000], [0.500, 0.500, 0.500]],
  "dft_energy_ha_per_atom": -0.218,
  "e_above_lowest_polymorph_mev_per_atom": 1743.7,
  "e_form_raw_ev_per_atom": 2.39,
  "magmom_total_mub_per_cell": 2.83
}